This record from Alexandria describes a relaxed structure of Pm3Pr5Co2. The functional is PBE.

Geometry as CIF:
```
data_Pm3Pr5Co2
_chemical_formula_sum 'Pm6 Pr10 Co4'
_cell_length_a 10.0705
_cell_length_b 10.0705
_cell_length_c 10.0705
_cell_angle_alpha 116.67
_cell_angle_beta 81.89
_cell_angle_gamma 133.81
_space_group_name_H-M_alt 'P 1'
_space_group_IT_number 1
_space_group_name_Hall 'P 1'
loop_
_atom_site_label
_atom_site_fract_x
_atom_site_fract_y
_atom_site_fract_z
_atom_site_occupancy
Pm1 0.1328 0.7431 0.8759 1
Pm2 0.2500 0.2500 0.0000 1
Pm3 0.3672 0.2431 0.6103 1
Pm4 0.6328 0.7569 0.3897 1
Pm5 0.7500 0.7500 0.0000 1
Pm6 0.8672 0.2569 0.1241 1
Pr1 0.0027 0.7500 0.2527 1
Pr2 0.1137 0.2557 0.3694 1
Pr3 0.2500 0.7500 0.5000 1
Pr4 0.3863 0.7557 0.1420 1
Pr5 0.4973 0.7500 0.7473 1
Pr6 0.5027 0.2500 0.2527 1
Pr7 0.6137 0.2443 0.8580 1
Pr8 0.7500 0.2500 0.5000 1
Pr9 0.8863 0.7443 0.6306 1
Pr10 0.9973 0.2500 0.7473 1
Co1 0.1294 0.9980 0.1274 1
Co2 0.3706 0.4980 0.8686 1
Co3 0.6294 0.5020 0.1314 1
Co4 0.8706 0.0020 0.8726 1
```

E_form = 26.8 meV per atom
Magnetization = 0.000 μB/atom
Electronic total energy = -5.209 eV per atom
SG = Ibam, No. 72

***

This record from Alexandria describes a relaxed structure of Zr3Sc4. The functional is PBE.

Geometry as CIF:
```
data_Zr3Sc4
_chemical_formula_sum 'Zr3 Sc4'
_cell_length_a 11.9864
_cell_length_b 11.9864
_cell_length_c 11.9864
_cell_angle_alpha 161.95
_cell_angle_beta 161.95
_cell_angle_gamma 25.64
_space_group_name_H-M_alt 'P 1'
_space_group_IT_number 1
_space_group_name_Hall 'P 1'
loop_
_atom_site_label
_atom_site_fract_x
_atom_site_fract_y
_atom_site_fract_z
_atom_site_occupancy
Zr1 0.0000 0.0000 0.0000 1
Zr2 0.2812 0.2812 0.0000 1
Zr3 0.7188 0.7188 0.0000 1
Sc1 0.1463 0.1463 0.0000 1
Sc2 0.4302 0.4302 0.0000 1
Sc3 0.5698 0.5698 0.0000 1
Sc4 0.8537 0.8537 0.0000 1
```

E_form = 94.1 meV per atom
E above lowest polymorph = 0 meV/atom
Magnetization = 0.000 μB/atom
Electronic total energy = -7.187 eV per atom
SG = I4/mmm, No. 139

***

This record from Alexandria describes a relaxed structure of BaTa2BW. The functional is PBE.

Geometry as CIF:
```
data_BaTa2BW
_chemical_formula_sum 'Ba1 Ta2 B1 W1'
_cell_length_a 5.1662
_cell_length_b 5.1662
_cell_length_c 4.0982
_cell_angle_alpha 90.00
_cell_angle_beta 90.00
_cell_angle_gamma 90.00
_space_group_name_H-M_alt 'P 1'
_space_group_IT_number 1
_space_group_name_Hall 'P 1'
loop_
_atom_site_label
_atom_site_fract_x
_atom_site_fract_y
_atom_site_fract_z
_atom_site_occupancy
Ba1 0.0000 0.0000 0.0000 1
Ta1 0.0000 0.5000 0.0000 1
Ta2 0.5000 0.0000 0.0000 1
B1 0.0000 0.0000 0.5000 1
W1 0.5000 0.5000 0.5000 1
```

E_form = 3458.0 meV per atom
Magnetization = 0.000 μB/atom
Electronic total energy = -5.594 eV per atom
SG = P4/mmm, No. 123